## Rb2TaF (GGA-PBE)

Data for Rb2TaF after structural relaxation.

POSCAR file:
```
Rb2TaF
1.0
0.000 4.280 4.280
4.280 0.000 4.280
4.280 4.280 0.000
Rb Ta F
2 1 1
Direct
0.250 0.250 0.250
0.750 0.750 0.750
0.000 0.000 0.000
0.500 0.500 0.500
```

Summary:
- total DFT energy (no corrections) (eV/atom) = -3.249
- E above lowest polymorph (kcal/mol of atoms) = 8.77
- ρ (g/cm3) = 3.93
- formation energy without anion corrections (eV/atom) = 0.6658

=====

## Zr3Ag3S8 (GGA-PBE)

Data for Zr3Ag3S8 after structural relaxation.

POSCAR file:
```
Zr3Ag3S8
1.0
3.804 2.196 6.338
-3.804 2.196 6.338
0.000 -4.392 6.338
Zr Ag S
3 3 8
Direct
0.000 0.500 0.500
0.500 0.000 0.500
0.500 0.500 0.000
0.122 0.122 0.122
0.500 0.500 0.500
0.878 0.878 0.878
0.253 0.253 0.720
0.253 0.720 0.253
0.257 0.257 0.257
0.280 0.747 0.747
0.720 0.253 0.253
0.743 0.743 0.743
0.747 0.280 0.747
0.747 0.747 0.280
```

Summary:
- total DFT energy (no corrections) (eV/atom) = -5.758
- ρ (g/cm3) = 4.46
- formation energy without anion corrections (eV/atom) = -0.9563

=====

## ZnReCl2 (GGA-PBE)

Data for ZnReCl2 after structural relaxation.

POSCAR file:
```
ZnReCl2
1.0
4.272 0.000 0.000
0.000 3.035 0.000
-2.127 0.000 7.174
Zn Re Cl
1 1 2
Direct
0.000 0.000 0.000
0.531 0.500 0.063
0.370 0.500 0.740
0.659 0.000 0.320
```

Summary:
- total DFT energy (no corrections) (eV/atom) = -4.373
- E above lowest polymorph (kcal/mol of atoms) = 0.00
- ρ (g/cm3) = 5.76
- formation energy without anion corrections (eV/atom) = -0.0195

=====

## Ca2Al4Ga3Ag (GGA-PBE)

Data for Ca2Al4Ga3Ag after structural relaxation.

POSCAR file:
```
Ca2Al4Ga3Ag
1.0
4.281 0.000 0.000
0.000 4.281 0.000
0.000 0.000 11.139
Ca Al Ga Ag
2 4 3 1
Direct
0.000 0.500 0.249
0.500 0.000 0.751
0.000 0.000 0.500
0.000 0.500 0.865
0.500 0.000 0.135
0.500 0.500 0.500
0.000 0.000 0.000
0.000 0.500 0.639
0.500 0.000 0.361
0.500 0.500 0.000
```

Summary:
- total DFT energy (no corrections) (eV/atom) = -3.413
- energy relative to the elements (meV per atom) = -322
- ρ (g/cm3) = 4.11

=====

## Sc2ZnS (GGA-PBE)

Data for Sc2ZnS after structural relaxation.

POSCAR file:
```
Sc2ZnS
1.0
-3.547 3.547 3.230
3.547 -3.547 3.230
3.547 3.547 -3.230
Sc Zn S
4 2 2
Direct
0.099 0.625 0.974
0.375 0.349 0.474
0.651 0.125 0.026
0.875 0.901 0.526
0.250 0.750 0.500
0.500 0.500 0.000
0.000 0.000 0.000
0.750 0.250 0.500
```

Summary:
- total DFT energy (no corrections) (eV/atom) = -5.186
- E above lowest polymorph (kcal/mol of atoms) = 9.98
- ρ (g/cm3) = 3.83
- formation energy without anion corrections (eV/atom) = -0.6703

=====

## KLi2PuCl8 (GGA-PBE)

Data for KLi2PuCl8 after structural relaxation.

POSCAR file:
```
KLi2PuCl8
1.0
-4.615 4.615 4.015
4.615 -4.615 4.015
4.615 4.615 -4.015
K Li Pu Cl
1 2 1 8
Direct
0.000 0.000 0.000
0.500 0.500 0.000
0.750 0.250 0.500
0.250 0.750 0.500
0.341 0.120 0.779
0.341 0.562 0.221
0.363 0.034 0.329
0.438 0.659 0.779
0.705 0.034 0.671
0.880 0.659 0.221
0.966 0.295 0.329
0.966 0.637 0.671
```

Summary:
- total DFT energy (no corrections) (eV/atom) = -4.346
- ρ (g/cm3) = 2.82
- formation energy without anion corrections (eV/atom) = -1.5104

=====

## MgZrCo2I (GGA-PBE)

Data for MgZrCo2I after structural relaxation.

POSCAR file:
```
MgZrCo2I
1.0
4.593 0.000 0.000
0.000 4.593 0.000
0.000 0.000 6.137
Mg Zr Co I
1 1 2 1
Direct
0.000 0.000 0.000
0.000 0.000 0.500
0.000 0.500 0.500
0.500 0.000 0.500
0.500 0.500 0.000
```

Summary:
- total DFT energy (no corrections) (eV/atom) = -3.979
- ρ (g/cm3) = 4.62
- formation energy without anion corrections (eV/atom) = 1.2017

=====

## SrYCo2 (GGA-PBE)

Data for SrYCo2 after structural relaxation.

POSCAR file:
```
SrYCo2
1.0
1.976 1.141 7.509
-1.976 1.141 7.509
0.000 -2.281 7.509
Sr Y Co
1 1 2
Direct
0.000 0.000 0.000
0.176 0.176 0.176
0.432 0.432 0.432
0.766 0.766 0.766
```

Summary:
- total DFT energy (no corrections) (eV/atom) = -5.616
- energy relative to the elements (meV per atom) = -27
- E above lowest polymorph (kcal/mol of atoms) = 0.00
- ρ (g/cm3) = 4.81

=====

## KCoSCl2 (GGA-PBE)

Data for KCoSCl2 after structural relaxation.

POSCAR file:
```
KCoSCl2
1.0
5.596 0.000 0.000
0.000 5.596 0.000
0.000 0.000 5.664
K Co S Cl
1 1 1 2
Direct
0.000 0.000 0.000
0.500 0.500 0.500
0.000 0.000 0.500
0.000 0.500 0.000
0.500 0.000 0.000
```

Summary:
- total DFT energy (no corrections) (eV/atom) = -2.441
- E above lowest polymorph (kcal/mol of atoms) = 34.39
- ρ (g/cm3) = 1.88
- formation energy without anion corrections (eV/atom) = 0.7633

=====

## Hf2Zr3Pb2 (GGA-PBE)

Data for Hf2Zr3Pb2 after structural relaxation.

POSCAR file:
```
Hf2Zr3Pb2
1.0
5.290 -1.603 0.000
5.290 1.603 0.000
-4.169 0.000 9.804
Hf Zr Pb
2 3 2
Direct
0.214 0.214 0.364
0.786 0.786 0.636
0.000 0.000 0.500
0.339 0.339 0.904
0.661 0.661 0.096
0.435 0.435 0.217
0.565 0.565 0.783
```

Summary:
- total DFT energy (no corrections) (eV/atom) = -7.528
- energy relative to the elements (meV per atom) = 39
- ρ (g/cm3) = 10.44

=====

## Tl3Cr2CuTe6 (GGA-PBE)

Data for Tl3Cr2CuTe6 after structural relaxation.

POSCAR file:
```
Tl3Cr2CuTe6
1.0
3.580 -6.187 0.000
3.580 6.187 0.000
-2.312 0.000 7.638
Tl Cr Cu Te
3 2 1 6
Direct
0.000 0.000 0.000
0.331 0.669 0.000
0.669 0.331 0.000
0.167 0.833 0.500
0.833 0.167 0.500
0.500 0.500 0.500
0.101 0.438 0.314
0.227 0.227 0.682
0.438 0.101 0.314
0.562 0.899 0.686
0.773 0.773 0.318
0.899 0.562 0.686
```

Summary:
- total DFT energy (no corrections) (eV/atom) = -4.283
- ρ (g/cm3) = 7.59
- formation energy without anion corrections (eV/atom) = -0.1756

=====

## ScTlPtAu2 (GGA-PBE)

Data for ScTlPtAu2 after structural relaxation.

POSCAR file:
```
ScTlPtAu2
1.0
5.288 0.000 0.000
0.000 5.288 0.000
0.000 0.000 4.920
Sc Tl Pt Au
1 1 1 2
Direct
0.000 0.000 0.000
0.500 0.500 0.500
0.000 0.000 0.500
0.000 0.500 0.000
0.500 0.000 0.000
```

Summary:
- total DFT energy (no corrections) (eV/atom) = -4.065
- energy relative to the elements (meV per atom) = 194
- ρ (g/cm3) = 10.12

=====

## MnIn2W (GGA-PBE)

Data for MnIn2W after structural relaxation.

POSCAR file:
```
MnIn2W
1.0
1.568 0.905 8.948
-1.568 0.905 8.948
0.000 -1.811 8.948
Mn In W
1 2 1
Direct
0.000 0.000 0.000
0.250 0.250 0.250
0.483 0.483 0.483
0.724 0.724 0.724
```

Summary:
- total DFT energy (no corrections) (eV/atom) = -6.487
- energy relative to the elements (meV per atom) = 413
- E above lowest polymorph (kcal/mol of atoms) = 2.10
- ρ (g/cm3) = 10.21

=====

## MgCuPb (GGA-PBE)

Data for MgCuPb after structural relaxation.

POSCAR file:
```
MgCuPb
1.0
-1.682 1.682 5.625
1.682 -1.682 5.625
1.682 1.682 -5.625
Mg Cu Pb
1 1 1
Direct
0.000 0.000 0.000
0.623 0.623 0.000
0.290 0.290 0.000
```

Summary:
- total DFT energy (no corrections) (eV/atom) = -3.069
- energy relative to the elements (meV per atom) = 64
- ρ (g/cm3) = 7.70

=====

## Ac2LaDyS4 (GGA-PBE)

Data for Ac2LaDyS4 after structural relaxation.

POSCAR file:
```
Ac2LaDyS4
1.0
7.206 0.000 0.000
0.000 4.119 0.000
-2.363 0.000 6.910
Ac La Dy S
2 1 1 4
Direct
0.000 0.000 0.000
0.500 0.500 0.000
0.000 0.500 0.500
0.500 0.000 0.500
0.254 0.000 0.732
0.268 0.500 0.275
0.732 0.500 0.725
0.746 0.000 0.268
```

Summary:
- total DFT energy (no corrections) (eV/atom) = -6.307
- ρ (g/cm3) = 7.15
- formation energy without anion corrections (eV/atom) = -2.0249

=====

## Zn5Os (GGA-PBE)

Data for Zn5Os after structural relaxation.

POSCAR file:
```
Zn5Os
1.0
4.880 0.000 0.000
-2.440 4.226 0.000
0.000 0.000 4.256
Zn Os
5 1
Direct
0.000 0.500 0.000
0.333 0.667 0.500
0.500 0.000 0.000
0.500 0.500 0.000
0.667 0.333 0.500
0.000 0.000 0.500
```

Summary:
- total DFT energy (no corrections) (eV/atom) = -2.519
- energy relative to the elements (meV per atom) = 414
- E above lowest polymorph (kcal/mol of atoms) = 7.74
- ρ (g/cm3) = 9.79

=====

## V2GeCl2 (GGA-PBE)

Data for V2GeCl2 after structural relaxation.

POSCAR file:
```
V2GeCl2
1.0
7.837 0.000 0.000
0.000 7.837 0.000
0.000 0.000 2.847
V Ge Cl
4 2 4
Direct
0.201 0.299 0.000
0.299 0.799 0.000
0.701 0.201 0.000
0.799 0.701 0.000
0.000 0.000 0.500
0.500 0.500 0.500
0.126 0.626 0.500
0.374 0.126 0.500
0.626 0.874 0.500
0.874 0.374 0.500
```

Summary:
- total DFT energy (no corrections) (eV/atom) = -5.009
- ρ (g/cm3) = 4.66
- formation energy without anion corrections (eV/atom) = 0.3008

=====

## TcBi2Ru (GGA-PBE)

Data for TcBi2Ru after structural relaxation.

POSCAR file:
```
TcBi2Ru
1.0
0.000 3.391 3.391
3.391 0.000 3.391
3.391 3.391 0.000
Tc Bi Ru
1 2 1
Direct
0.000 0.000 0.000
0.250 0.250 0.250
0.750 0.750 0.750
0.500 0.500 0.500
```

Summary:
- total DFT energy (no corrections) (eV/atom) = -6.311
- energy relative to the elements (meV per atom) = 540
- E above lowest polymorph (kcal/mol of atoms) = 0.00
- ρ (g/cm3) = 13.14

=====

## ZrMo2Ru (GGA-PBE)

Data for ZrMo2Ru after structural relaxation.

POSCAR file:
```
ZrMo2Ru
1.0
1.945 -2.060 0.000
1.945 2.060 0.000
0.000 0.000 8.458
Zr Mo Ru
1 2 1
Direct
0.000 0.000 0.000
0.500 0.500 0.282
0.500 0.500 0.718
0.000 0.000 0.500
```

Summary:
- total DFT energy (no corrections) (eV/atom) = -9.723
- energy relative to the elements (meV per atom) = 148
- E above lowest polymorph (kcal/mol of atoms) = 6.54
- ρ (g/cm3) = 9.41

=====

## SrCr2P (GGA-PBE)

Data for SrCr2P after structural relaxation.

POSCAR file:
```
SrCr2P
1.0
-2.136 2.902 3.634
2.136 -2.902 3.634
2.136 2.902 -3.634
Sr Cr P
1 2 1
Direct
0.000 0.000 0.000
0.336 0.836 0.500
0.544 0.544 0.000
0.677 0.177 0.500
```

Summary:
- total DFT energy (no corrections) (eV/atom) = -6.391
- energy relative to the elements (meV per atom) = 194
- ρ (g/cm3) = 4.10

=====

Number 1: DOS at the Fermi energy 7.182 states/eV/cell. Number 2: DOS at the Fermi energy 5.730 states/eV/cell. Number 3: DOS at the Fermi energy 1.650 states/eV/cell. Number 4: DOS at the Fermi energy 2.039 states/eV/cell. Number 5: DOS at the Fermi energy 8.132 states/eV/cell. Number 6: DOS at the Fermi energy 14.619 states/eV/cell. Number 7: DOS at the Fermi energy 6.427 states/eV/cell. Number 8: DOS at the Fermi energy 4.254 states/eV/cell. Number 9: DOS at the Fermi energy 16.027 states/eV/cell. Number 10: DOS at the Fermi energy 7.688 states/eV/cell. Number 11: DOS at the Fermi energy 7.881 states/eV/cell. Number 12: DOS at the Fermi energy 1.109 states/eV/cell. Number 13: DOS at the Fermi energy 3.020 states/eV/cell. Number 14: DOS at the Fermi energy 0.786 states/eV/cell. Number 15: DOS at the Fermi energy 4.712 states/eV/cell. Number 16: DOS at the Fermi energy 3.283 states/eV/cell. Number 17: DOS at the Fermi energy 9.651 states/eV/cell. Number 18: DOS at the Fermi energy 2.730 states/eV/cell. Number 19: DOS at the Fermi energy 4.078 states/eV/cell. Number 20: DOS at the Fermi energy 0.393 states/eV/cell.